[1]
The following is a DFT calculation (PBE) of a geometry-optimized RbAcW structure.

Geometry as POSCAR:
```
RbAcW
1.0
0.000 3.880 3.880
3.880 0.000 3.880
3.880 3.880 0.000
Rb Ac W
1 1 1
Direct
0.500 0.500 0.500
0.000 0.000 0.000
0.250 0.250 0.250
```

For the relative energy among the computed polymorphs, the calculation gives 0.0 meV/atom. The density comes out at 7.057 g/cm³. The space group is No. 216.

[2]
The following is a DFT calculation (PBE) of a geometry-optimized RbAcZn structure.

Geometry as POSCAR:
```
RbAcZn
1.0
0.000 3.993 3.993
3.993 0.000 3.993
3.993 3.993 0.000
Zn Rb Ac
1 1 1
Direct
0.000 0.000 0.000
0.750 0.750 0.750
0.250 0.250 0.250
```

For the relative energy among the computed polymorphs, the calculation gives 0.0 meV/atom. The density comes out at 4.928 g/cm³. The space group is No. 216.

[3]
The following is a DFT calculation (PBE) of a geometry-optimized Ac2Re structure.

Geometry as POSCAR:
```
Ac2Re
1.0
0.214 0.760 8.795
6.661 -3.557 4.578
6.003 5.218 3.836
Re Ac
2 4
Direct
0.250 0.250 0.250
0.500 0.500 0.500
0.375 0.375 0.875
0.375 0.875 0.375
0.375 0.375 0.375
0.875 0.375 0.375
```

The calculation puts the raw total energy at -33.1 eV per cell. The density comes out at 4.367 g/cm³. The space group is No. 227.

[4]
The following is a DFT calculation (PBE) of a geometry-optimized Ac3ReSe structure.

Geometry as POSCAR:
```
Ac3ReSe
1.0
5.748 0.000 0.000
0.000 5.748 0.000
0.000 0.000 5.748
Ac Se Re
3 1 1
Direct
0.500 0.500 0.000
0.500 0.000 0.500
0.000 0.500 0.500
0.500 0.500 0.500
0.000 0.000 0.000
```

The calculation puts the raw total energy at -25.8 eV per cell. The density comes out at 8.272 g/cm³. The space group is No. 221.

[5]
The following is a DFT calculation (PBE) of a geometry-optimized AcSmRe structure.

Geometry as POSCAR:
```
AcSmRe
1.0
2.434 -3.828 2.069
1.267 0.164 4.819
-2.319 -2.943 3.289
Sm Re Ac
1 1 1
Direct
0.000 0.000 0.000
0.750 0.750 0.750
0.250 0.250 0.250
```

The calculation puts the raw total energy at -17.6 eV per cell. The density comes out at 10.678 g/cm³. The space group is No. 216.

[6]
The following is a DFT calculation (PBE) of a geometry-optimized AcTaRe structure.

Geometry as POSCAR:
```
AcTaRe
1.0
0.000 3.361 3.361
3.361 0.000 3.361
3.361 3.361 0.000
Re Ac Ta
1 1 1
Direct
0.000 0.000 0.000
0.250 0.250 0.250
0.750 0.750 0.750
```

For the relative energy among the computed polymorphs, the calculation gives 0.0 meV/atom. The density comes out at 12.992 g/cm³. The space group is No. 216.

[7]
The following is a DFT calculation (PBE) of a geometry-optimized AcTaRe structure.

Geometry as POSCAR:
```
AcTaRe
1.0
0.000 3.325 3.325
3.325 0.000 3.325
3.325 3.325 0.000
Ta Ac Re
1 1 1
Direct
0.750 0.750 0.750
0.000 0.000 0.000
0.250 0.250 0.250
```

For the relative energy among the computed polymorphs, the calculation gives 1375.4 meV/atom. The density comes out at 13.423 g/cm³. The space group is No. 216.

[8]
The following is a DFT calculation (PBE) of a geometry-optimized AcTlRe structure.

Geometry as POSCAR:
```
AcTlRe
1.0
3.341 1.580 3.637
-0.116 4.907 1.672
-1.689 1.070 4.784
Ac Tl Re
1 1 1
Direct
0.000 0.000 0.000
0.750 0.750 0.750
0.250 0.250 0.250
```

For the relative energy among the computed polymorphs, the calculation gives 717.3 meV/atom. The density comes out at 10.406 g/cm³. The space group is No. 216.

[9]
The following is a DFT calculation (PBE) of a geometry-optimized AcTlRe structure.

Geometry as POSCAR:
```
AcTlRe
1.0
-1.603 -4.612 -0.651
-3.621 -0.919 -3.211
0.978 -2.378 -4.202
Tl Ac Re
1 1 1
Direct
0.250 0.250 0.250
0.750 0.750 0.750
0.000 0.000 0.000
```

For the relative energy among the computed polymorphs, the calculation gives 0.0 meV/atom. The density comes out at 12.134 g/cm³. The space group is No. 216.

[10]
The following is a DFT calculation (PBE) of a geometry-optimized AcTmRe structure.

Geometry as POSCAR:
```
AcTmRe
1.0
4.516 0.151 2.034
2.113 4.365 1.021
0.550 1.446 4.708
Ac Re Tm
1 1 1
Direct
0.000 0.000 0.000
0.250 0.250 0.250
0.500 0.500 0.500
```

For the relative energy among the computed polymorphs, the calculation gives 0.0 meV/atom. The density comes out at 11.234 g/cm³. The space group is No. 216.

[11]
The following is a DFT calculation (PBE) of a geometry-optimized AcReW structure.

Geometry as POSCAR:
```
AcReW
1.0
0.000 3.320 3.320
3.320 0.000 3.320
3.320 3.320 0.000
Ac Re W
1 1 1
Direct
0.250 0.250 0.250
0.000 0.000 0.000
0.750 0.750 0.750
```

For the relative energy among the computed polymorphs, the calculation gives 0.0 meV/atom. The density comes out at 13.550 g/cm³. The space group is No. 216.

[12]
The following is a DFT calculation (PBE) of a geometry-optimized AcReW structure.

Geometry as POSCAR:
```
AcReW
1.0
0.000 3.264 3.264
3.264 0.000 3.264
3.264 3.264 0.000
W Ac Re
1 1 1
Direct
0.750 0.750 0.750
0.000 0.000 0.000
0.250 0.250 0.250
```

For the relative energy among the computed polymorphs, the calculation gives 1287.7 meV/atom. The density comes out at 14.256 g/cm³. The space group is No. 216.

[13]
The following is a DFT calculation (PBE) of a geometry-optimized AcYRe structure.

Geometry as POSCAR:
```
AcYRe
1.0
2.948 -3.270 2.343
0.538 0.231 4.953
-2.002 -3.535 2.893
Ac Re Y
1 1 1
Direct
0.250 0.250 0.250
0.000 0.000 0.000
0.750 0.750 0.750
```

For the relative energy among the computed polymorphs, the calculation gives 0.0 meV/atom. The density comes out at 9.506 g/cm³. The space group is No. 216.

[14]
The following is a DFT calculation (PBE) of a geometry-optimized AcZrRe structure.

Geometry as POSCAR:
```
AcZrRe
1.0
-2.306 -2.072 3.745
-0.680 2.494 4.118
-4.462 1.489 1.232
Ac Zr Re
1 1 1
Direct
0.250 0.250 0.250
0.750 0.750 0.750
0.000 0.000 0.000
```

For the relative energy among the computed polymorphs, the calculation gives 0.0 meV/atom. The density comes out at 10.306 g/cm³. The space group is No. 216.

[15]
The following is a DFT calculation (PBE) of a geometry-optimized AcTm2S4 structure.

Geometry as POSCAR:
```
AcTm2S4
1.0
-4.840 4.168 -2.033
4.270 -1.538 4.933
9.110 7.939 -5.410
S Tm Ac
8 4 2
Direct
0.768 0.232 0.115
0.947 0.053 0.750
0.232 0.768 0.885
0.768 0.232 0.385
0.500 0.500 0.000
0.053 0.947 0.250
0.500 0.500 0.500
0.232 0.768 0.615
0.870 0.130 0.937
0.870 0.130 0.563
0.130 0.870 0.063
0.130 0.870 0.437
0.619 0.381 0.750
0.381 0.619 0.250
```

The calculation puts the raw total energy at -88.5 eV per cell. The density comes out at 6.862 g/cm³. The space group is No. 63.

[16]
The following is a DFT calculation (PBE) of a geometry-optimized Ac2US6 structure.

Geometry as POSCAR:
```
Ac2US6
1.0
6.717 0.000 0.000
0.000 7.794 0.000
-6.249 0.000 9.375
S U Ac
12 2 4
Direct
0.288 0.293 0.444
0.712 0.707 0.556
0.353 0.532 0.742
0.131 0.837 0.449
0.712 0.793 0.056
0.131 0.663 0.949
0.647 0.468 0.258
0.869 0.337 0.051
0.647 0.032 0.758
0.288 0.207 0.944
0.353 0.968 0.242
0.869 0.163 0.551
0.500 0.000 0.500
0.500 0.500 0.000
0.779 0.101 0.246
0.779 0.399 0.746
0.221 0.601 0.254
0.221 0.899 0.754
```

The calculation puts the raw total energy at -119.8 eV per cell. The density comes out at 5.985 g/cm³. The space group is No. 14.

[17]
The following is a DFT calculation (PBE) of a geometry-optimized AcSmSb structure.

Geometry as POSCAR:
```
AcSmSb
1.0
2.225 -4.752 -1.222
-3.132 -4.185 -1.303
-0.114 -1.802 -5.076
Sm Sb Ac
1 1 1
Direct
0.750 0.750 0.750
0.000 0.000 0.000
0.250 0.250 0.250
```

For the relative energy among the computed polymorphs, the calculation gives 0.0 meV/atom. The density comes out at 7.496 g/cm³. The space group is No. 216.

[18]
The following is a DFT calculation (PBE) of a geometry-optimized AcTmSb structure.

Geometry as POSCAR:
```
AcTmSb
1.0
0.000 3.912 3.912
3.912 0.000 3.912
3.912 3.912 0.000
Ac Sb Tm
1 1 1
Direct
0.000 0.000 0.000
0.250 0.250 0.250
0.750 0.750 0.750
```

For the relative energy among the computed polymorphs, the calculation gives 653.0 meV/atom. The density comes out at 7.181 g/cm³. The space group is No. 216.

[19]
The following is a DFT calculation (PBE) of a geometry-optimized AcTmSb structure.

Geometry as POSCAR:
```
AcTmSb
1.0
2.927 -3.646 2.523
-2.244 -4.518 1.667
1.172 -4.592 -2.402
Tm Sb Ac
1 1 1
Direct
0.000 0.000 0.000
0.250 0.250 0.250
0.500 0.500 0.500
```

For the relative energy among the computed polymorphs, the calculation gives 0.0 meV/atom. The density comes out at 8.105 g/cm³. The space group is No. 216.

[20]
The following is a DFT calculation (PBE) of a geometry-optimized AcSbW structure.

Geometry as POSCAR:
```
AcSbW
1.0
-4.511 -0.796 1.686
-2.793 3.762 1.368
-3.870 1.271 -2.690
Sb W Ac
1 1 1
Direct
0.250 0.250 0.250
0.000 0.000 0.000
0.750 0.750 0.750
```

For the relative energy among the computed polymorphs, the calculation gives 0.0 meV/atom. The density comes out at 10.753 g/cm³. The space group is No. 216.

[21]
The following is a DFT calculation (PBE) of a geometry-optimized AcSbW structure.

Geometry as POSCAR:
```
AcSbW
1.0
0.000 3.772 3.772
3.772 0.000 3.772
3.772 3.772 0.000
Ac Sb W
1 1 1
Direct
0.000 0.000 0.000
0.250 0.250 0.250
0.750 0.750 0.750
```

For the relative energy among the computed polymorphs, the calculation gives 846.6 meV/atom. The density comes out at 8.240 g/cm³. The space group is No. 216.

[22]
The following is a DFT calculation (PBE) of a geometry-optimized AcZnSb structure.

Geometry as POSCAR:
```
AcZnSb
1.0
0.000 3.574 3.574
3.574 0.000 3.574
3.574 3.574 0.000
Zn Sb Ac
1 1 1
Direct
0.000 0.000 0.000
0.750 0.750 0.750
0.250 0.250 0.250
```

For the relative energy among the computed polymorphs, the calculation gives 0.0 meV/atom. The density comes out at 7.531 g/cm³. The space group is No. 216.

[23]
The following is a DFT calculation (PBE) of a geometry-optimized AcZnSb structure.

Geometry as POSCAR:
```
AcZnSb
1.0
0.000 3.802 3.802
3.802 0.000 3.802
3.802 3.802 0.000
Sb Ac Zn
1 1 1
Direct
0.250 0.250 0.250
0.000 0.000 0.000
0.750 0.750 0.750
```

For the relative energy among the computed polymorphs, the calculation gives 108.6 meV/atom. The density comes out at 6.256 g/cm³. The space group is No. 216.

[24]
The following is a DFT calculation (PBE) of a geometry-optimized AcZrSb structure.

Geometry as POSCAR:
```
AcZrSb
1.0
-0.830 -0.087 5.156
-3.946 -2.804 1.963
0.987 -4.342 2.731
Ac Zr Sb
1 1 1
Direct
0.250 0.250 0.250
0.750 0.750 0.750
0.000 0.000 0.000
```

For the relative energy among the computed polymorphs, the calculation gives 0.0 meV/atom. The density comes out at 7.250 g/cm³. The space group is No. 216.

[25]
The following is a DFT calculation (PBE) of a geometry-optimized AcZrSb structure.

Geometry as POSCAR:
```
AcZrSb
1.0
0.658 1.856 5.088
2.722 4.646 0.879
-2.676 4.461 1.644
Ac Sb Zr
1 1 1
Direct
0.000 0.000 0.000
0.250 0.250 0.250
0.750 0.750 0.750
```

For the relative energy among the computed polymorphs, the calculation gives 750.7 meV/atom. The density comes out at 6.363 g/cm³. The space group is No. 216.

[26]
The following is a DFT calculation (PBE) of a geometry-optimized AcSc2 structure.

Geometry as POSCAR:
```
AcSc2
1.0
6.645 -6.171 0.559
7.270 0.649 -5.411
8.066 2.312 3.486
Ac Sc
2 4
Direct
0.500 0.500 0.500
0.250 0.250 0.250
0.375 0.375 0.875
0.875 0.375 0.375
0.375 0.875 0.375
0.375 0.375 0.375
```

The calculation puts the raw total energy at -16.6 eV per cell. The density comes out at 1.984 g/cm³. The space group is No. 227.

[27]
The following is a DFT calculation (PBE) of a geometry-optimized AcScTa structure.

Geometry as POSCAR:
```
AcScTa
1.0
-2.822 -3.583 2.104
-4.212 1.232 2.444
-4.475 -1.152 -1.969
Sc Ta Ac
1 1 1
Direct
0.000 0.000 0.000
0.750 0.750 0.750
0.250 0.250 0.250
```

The calculation puts the raw total energy at -18.7 eV per cell. The density comes out at 8.393 g/cm³. The space group is No. 216.

[28]
The following is a DFT calculation (PBE) of a geometry-optimized Ac2ScTc2 structure.

Geometry as POSCAR:
```
Ac2ScTc2
1.0
0.582 -2.019 9.251
2.595 1.126 9.047
-2.914 1.906 1.363
Sc Ac Tc
1 2 2
Direct
0.500 0.500 0.500
0.115 0.115 0.885
0.885 0.885 0.115
0.750 0.750 0.750
0.250 0.250 0.250
```

The calculation puts the raw total energy at -32.2 eV per cell. The density comes out at 9.062 g/cm³. The space group is No. 69.

[29]
The following is a DFT calculation (PBE) of a geometry-optimized AcTmSc structure.

Geometry as POSCAR:
```
AcTmSc
1.0
3.419 -1.091 4.096
3.621 3.742 1.594
-0.608 2.508 4.795
Ac Sc Tm
1 1 1
Direct
0.250 0.250 0.250
0.000 0.000 0.000
0.750 0.750 0.750
```

For the relative energy among the computed polymorphs, the calculation gives 0.0 meV/atom. The density comes out at 6.412 g/cm³. The space group is No. 216.

[30]
The following is a DFT calculation (PBE) of a geometry-optimized AcScZn structure.

Geometry as POSCAR:
```
AcScZn
1.0
-1.842 -4.394 1.725
-4.080 -0.031 3.004
-4.420 -1.755 -1.749
Ac Zn Sc
1 1 1
Direct
0.250 0.250 0.250
0.000 0.000 0.000
0.750 0.750 0.750
```

For the relative energy among the computed polymorphs, the calculation gives 0.0 meV/atom. The density comes out at 6.090 g/cm³. The space group is No. 216.